(1)
A relaxed structure of SrTcAg, computed with PBE.

abc: 11.8603 3.6015 7.0622
angles: 90.00 90.21 90.00
Space group C2/m (No. 12)
Asymmetric unit:
Sr  0.0554  0.0000  0.2532 x4
Tc  0.2258  0.0000  0.5989 x4
Ag  0.1718  0.5000  0.9052 x4

Calculated values
N(E_F) ... 0.83 states/eV/atom
ΔE to the lowest computed polymorph ... 113 meV per atom
Magnetization ... 0.0 μB/f.u.
Energy of formation ... 0.345 eV per atom

***

(2)
A relaxed structure of TaFeSn2, computed with PBE.

abc: 3.0824 3.0824 29.3852
angles: 90.00 90.00 120.00
Space group R-3m (No. 166, hexagonal axes)
Asymmetric unit:
Ta  0.0000  0.0000  0.0000 x3
Fe  0.0000  0.0000  0.5000 x3
Sn  0.0000  0.0000  0.0980 x6

Calculated values
N(E_F) ... 1.27 states/eV/atom
ΔE to the lowest computed polymorph ... 72 meV per atom
Magnetization ... 1.7 μB/f.u.
Energy of formation ... 0.530 eV per atom

***

(3)
A relaxed structure of Mn3FeH, computed with PBE.

abc: 3.5908 3.5908 3.5908
angles: 90.00 90.00 90.00
Space group Pm-3m (No. 221)
Asymmetric unit:
Mn  0.0000  0.0000  0.5000 x3
Fe  0.5000  0.5000  0.5000 x1
H  0.0000  0.0000  0.0000 x1

Calculated values
N(E_F) ... 0.81 states/eV/atom
ΔE to the lowest computed polymorph ... 33 meV per atom
Magnetization ... 1.1 μB/f.u.

***

(4)
A relaxed structure of CePuCuPt, computed with PBE.

abc: 6.7211 6.7211 6.7211
angles: 90.00 90.00 90.00
Space group F-43m (No. 216)
Asymmetric unit:
Ce  0.0000  0.0000  0.0000 x4
Pu  0.2500  0.2500  0.7500 x4
Cu  0.2500  0.2500  0.2500 x4
Pt  0.0000  0.0000  0.5000 x4

Calculated values
N(E_F) ... 1.26 states/eV/atom
ΔE to the lowest computed polymorph ... 0 meV per atom
Magnetization ... 5.5 μB/f.u.
Energy of formation ... -0.590 eV per atom

***

(5)
A relaxed structure of LiCuAs2Se, computed with PBE.

abc: 4.6903 4.6903 5.0711
angles: 90.00 90.00 90.00
Space group P4/mmm (No. 123)
Asymmetric unit:
Li  0.0000  0.0000  0.0000 x1
Cu  0.5000  0.5000  0.5000 x1
As  0.0000  0.5000  0.5000 x2
Se  0.5000  0.5000  0.0000 x1

Calculated values
N(E_F) ... 0.72 states/eV/atom
ΔE to the lowest computed polymorph ... 0 meV per atom
Magnetization ... 0.0 μB/f.u.

***

(6)
A relaxed structure of NpScP2N6, computed with PBE.

abc: 9.9100 9.1694 5.2940
angles: 90.00 105.84 90.00
Space group C2/c (No. 15)
Asymmetric unit:
Np  0.0000  0.1953  0.2500 x4
Sc  0.0000  0.4099  0.7500 x4
P  0.2096  0.0856  0.7603 x8
N  0.1208  0.3996  0.1551 x8
N  0.1229  0.2323  0.6358 x8
N  0.1501  0.0352  0.0136 x8

Calculated values
N(E_F) ... 0.31 states/eV/atom
Magnetization ... 2.0 μB/f.u.
Raw total energy ... -8.902 eV per atom